Here is crystalline NiHI2O at its relaxed geometry from Alexandria. Energies are from GGA+U.

## Properties
Volume ... 131.2 Å³/cell
Uncorrected energy ... -2.280 eV per atom
Energy relative to the lowest polymorph listed for this composition ... 0.000 eV per atom

Lattice parameters (Å, degrees): 6.227 6.227 3.385 90.00 90.00 90.00
Space group P4/mmm (No. 123)
One atom of each set of equivalent atoms:
Ni 0.000 0.000 0.000 (multiplicity 1)
H 0.500 0.500 0.500 (multiplicity 1)
I 0.000 0.500 0.000 (multiplicity 2)
O 0.000 0.000 0.500 (multiplicity 1)